Material: Sr2LaTc
Method: DFT, PBE-GGA
State: relaxed

Geometry as CIF:
```
data_Sr2LaTc
_symmetry_space_group_name_H-M 'I -4 m 2'
_symmetry_Int_Tables_number 119
_symmetry_space_group_name_Hall 'I -4 -2'
_cell_length_a 5.4990
_cell_length_b 5.4990
_cell_length_c 7.8645
_cell_angle_alpha 90.00
_cell_angle_beta 90.00
_cell_angle_gamma 90.00
loop_
_atom_site_label
_atom_site_fract_x
_atom_site_fract_y
_atom_site_fract_z
Sr1 0.0000 0.0000 0.0000
Sr2 0.0000 0.5000 0.2500
La1 0.0000 0.0000 0.5000
Tc1 0.0000 0.5000 0.7500
```

## Properties
Electronic total energy: -4.033 eV/atom
Fermi-level density of states: 8.01 states/eV per cell
ρ: 5.76 g/cm3